Record 1
Crystalline Sc2Co2Si at its relaxed geometry. Source: Alexandria, functional PBE.

Properties
The crystal system is orthorhombic. As for the uncorrected formation energy: -0.608 eV per atom. Its energy above the lowest structure with this stoichiometry is 8.0 meV per atom. The final energy is -70.677 eV per cell.

a = 3.789 Å, b = 5.127 Å, c = 7.839 Å
α = 90.00°, β = 90.00°, γ = 90.00°
Space group Immm (No. 71)
Inequivalent atoms, fractional coordinates:
Sc 0.000 0.000 0.202 (multiplicity 4)
Co 0.000 0.265 0.500 (multiplicity 4)
Si 0.000 0.500 0.000 (multiplicity 2)



Record 2
Crystalline TbSc4In5 at its relaxed geometry. Source: Alexandria, functional PBE.

Properties
The crystal system is tetragonal. The energy of formation is -0.42 eV per atom. The final energy is -47.887 eV per cell.

a = 3.316 Å, b = 3.316 Å, c = 21.196 Å
α = 90.00°, β = 90.00°, γ = 90.00°
Space group P4/mmm (No. 123)
Inequivalent atoms, fractional coordinates:
Tb 0.000 0.000 0.000 (multiplicity 1)
Sc 0.000 0.000 0.206 (multiplicity 2)
Sc 0.000 0.000 0.402 (multiplicity 2)
In 0.500 0.500 0.109 (multiplicity 2)
In 0.500 0.500 0.304 (multiplicity 2)
In 0.500 0.500 0.500 (multiplicity 1)



Record 3
Crystalline Pu3MgIr2 at its relaxed geometry. Source: Alexandria, functional PBE.

Properties
The crystal system is orthorhombic. The energy of formation is -0.30 eV per atom. The final energy is -128.270 eV per cell.

a = 5.012 Å, b = 8.824 Å, c = 5.641 Å
α = 90.00°, β = 90.00°, γ = 90.00°
Space group Pmc2_1 (No. 26)
Inequivalent atoms, fractional coordinates:
Pu 0.000 0.000 0.000 (multiplicity 2)
Pu 0.000 0.333 0.253 (multiplicity 2)
Pu 0.500 0.173 0.751 (multiplicity 2)
Mg 0.500 0.499 0.002 (multiplicity 2)
Ir 0.000 0.346 0.753 (multiplicity 2)
Ir 0.500 0.174 0.251 (multiplicity 2)



Record 4
Crystalline Sc2P2Pd at its relaxed geometry. Source: Alexandria, functional PBE.

Properties
The crystal system is tetragonal. The energy of formation is -1.14 eV per atom. The final energy is -68.707 eV per cell.

a = 6.484 Å, b = 6.484 Å, c = 3.829 Å
α = 90.00°, β = 90.00°, γ = 90.00°
Space group P4/mbm (No. 127)
Inequivalent atoms, fractional coordinates:
Sc 0.176 0.324 0.000 (multiplicity 4)
P 0.124 0.624 0.500 (multiplicity 4)
Pd 0.000 0.000 0.500 (multiplicity 2)